Density functional theory data (PBE+U) for NaTiCrF6 after structural relaxation.

a b c (Å): 5.562 5.562 9.549
angles (deg): 90.00 90.00 120.00
Positions (direct):
Na (0.000, 0.000, 0.000)
Na (0.000, 0.000, 0.500)
Ti (0.333, 0.667, 0.250)
Ti (0.667, 0.333, 0.750)
Cr (0.333, 0.667, 0.750)
Cr (0.667, 0.333, 0.250)
F (0.029, 0.374, 0.140)
F (0.029, 0.655, 0.360)
F (0.345, 0.374, 0.360)
F (0.345, 0.971, 0.140)
F (0.374, 0.029, 0.640)
F (0.374, 0.345, 0.860)
F (0.626, 0.655, 0.140)
F (0.626, 0.971, 0.360)
F (0.655, 0.029, 0.860)
F (0.655, 0.626, 0.640)
F (0.971, 0.345, 0.640)
F (0.971, 0.626, 0.860)

Properties
Total energy in eV per cell: -107.5
Space-group type: P-31c
Spin magnetization in μB per formula unit: 5.0